1.
# Ho2CoAuC PBE relaxed
# - calculated volume (Å³ per atom) = 18.0
# - M_tot (μB/cell) = 0.0
# - energy of formation from the pure elements (meV/atom) = -585.4
# - total energy (eV per cell) = -31.690
data_Ho2CoAuC
_chemical_formula_sum 'Ho2 Co1 Au1 C1'
_symmetry_space_group_name_H-M 'P 4/m m m'
_symmetry_Int_Tables_number 123
_symmetry_space_group_name_Hall '-P 4 2'
_cell_length_a 4.9794
_cell_length_b 4.9794
_cell_length_c 3.6366
_cell_angle_alpha 90.00
_cell_angle_beta 90.00
_cell_angle_gamma 90.00
loop_
_atom_site_label
_atom_site_type_symbol
_atom_site_fract_x
_atom_site_fract_y
_atom_site_fract_z
Ho1 Ho 0.0000 0.5000 0.0000
Co1 Co 0.0000 0.0000 0.5000
Au1 Au 0.5000 0.5000 0.5000
C1 C 0.0000 0.0000 0.0000


2.
# CeSmN PBE relaxed
# - calculated volume (Å³ per atom) = 19.1
# - M_tot (μB/cell) = 2.0
# - ΔE_f (raw) (eV/atom) = -0.369
# - total energy (eV per cell) = -80.342
data_CeSmN
_chemical_formula_sum 'Ce4 Sm4 N4'
_symmetry_space_group_name_H-M 'F -4 3 m'
_symmetry_Int_Tables_number 216
_symmetry_space_group_name_Hall 'F -4 2 3'
_cell_length_a 6.1227
_cell_length_b 6.1227
_cell_length_c 6.1227
_cell_angle_alpha 90.00
_cell_angle_beta 90.00
_cell_angle_gamma 90.00
loop_
_atom_site_label
_atom_site_type_symbol
_atom_site_fract_x
_atom_site_fract_y
_atom_site_fract_z
Ce1 Ce 0.0000 0.0000 0.0000
Sm1 Sm 0.0000 0.0000 0.5000
N1 N 0.2500 0.2500 0.7500


- Which of these has the highest calculated volume?
  CeSmN


- Look up the total energy of the second one.
  -80.342 eV per cell


- Which formula does entry 2 have?
  CeSmN